(1)
# PmSi4Ir4

A relaxed structure of PmSi4Ir4 (GGA-PBE, the Alexandria database).

Summary:
Calculated volume (A^3/atom): 16.2
Space-group type: P4_2/nmc
VASP energy (Ry/atom): -0.558

Cell lengths 6.0063, 6.0063, 8.0748 Å; angles 90.00, 90.00, 90.00 degrees
With the nearest neighbours (Å) after each atom.
Element x y z (fractional)
1 Pm 0.0000 0.0000 0.0000  12 Si 3.16-3.54, 12 Ir 3.44-3.46
2 Pm 0.5000 0.5000 0.5000  12 Si 3.16-3.54, 12 Ir 3.44-3.46
3 Si 0.5000 0.7962 0.8238  5 Ir 2.43-2.46, 1 Si 2.45
4 Si 0.5000 0.2038 0.8238  5 Ir 2.43-2.46, 1 Si 2.45
5 Si 0.7962 0.5000 0.1762  5 Ir 2.43-2.46, 1 Si 2.45
6 Si 0.2038 0.5000 0.1762  5 Ir 2.43-2.46, 1 Si 2.45
7 Si 0.2962 0.0000 0.3238  5 Ir 2.43-2.46, 1 Si 2.45
8 Si 0.7038 0.0000 0.3238  5 Ir 2.43-2.46, 1 Si 2.45
9 Si 0.0000 0.2962 0.6762  5 Ir 2.43-2.46, 1 Si 2.45
10 Si 0.0000 0.7038 0.6762  5 Ir 2.43-2.46, 1 Si 2.45
11 Ir 0.2316 0.5000 0.8760  5 Si 2.43-2.46
12 Ir 0.7684 0.5000 0.8760  5 Si 2.43-2.46
13 Ir 0.5000 0.7684 0.1240  5 Si 2.43-2.46
14 Ir 0.5000 0.2316 0.1240  5 Si 2.43-2.46
15 Ir 0.0000 0.7316 0.3760  5 Si 2.43-2.46
16 Ir 0.0000 0.2684 0.3760  5 Si 2.43-2.46
17 Ir 0.2684 0.0000 0.6240  5 Si 2.43-2.46
18 Ir 0.7316 0.0000 0.6240  5 Si 2.43-2.46

(2)
# PmSi7Ir3

A relaxed structure of PmSi7Ir3 (GGA-PBE, the Alexandria database).

Summary:
Calculated volume (A^3/atom): 15.7
Space-group type: R-3c
VASP energy (Ry/atom): -0.514

Cell lengths 7.6653, 7.6653, 8.0908 Å; angles 61.73, 61.73, 60.00 degrees
With the nearest neighbours (Å) after each atom.
Element x y z (fractional)
1 Pm 0.5000 0.5000 0.5000  6 Ir 3.11, 12 Si 3.17-3.22
2 Pm 0.0000 0.0000 0.0000  6 Ir 3.11, 12 Si 3.17-3.22
3 Si 0.6729 0.0637 0.4129  3 Ir 2.47-2.55, 3 Si 2.60-2.73
4 Si 0.0637 0.8505 0.4129  3 Ir 2.47-2.55, 3 Si 2.60-2.73
5 Si 0.8505 0.6729 0.4129  3 Ir 2.47-2.55, 3 Si 2.60-2.73
6 Si 0.8271 0.6495 0.0871  3 Ir 2.47-2.55, 3 Si 2.60-2.73
7 Si 0.4363 0.8271 0.0871  3 Ir 2.47-2.55, 3 Si 2.60-2.73
8 Si 0.6495 0.4363 0.0871  3 Ir 2.47-2.55, 3 Si 2.60-2.73
9 Si 0.3271 0.9363 0.5871  3 Ir 2.47-2.55, 3 Si 2.60-2.73
10 Si 0.9363 0.1495 0.5871  3 Ir 2.47-2.55, 3 Si 2.60-2.73
11 Si 0.1495 0.3271 0.5871  3 Ir 2.47-2.55, 3 Si 2.60-2.73
12 Si 0.1729 0.3505 0.9129  3 Ir 2.47-2.55, 3 Si 2.60-2.73
13 Si 0.5637 0.1729 0.9129  3 Ir 2.47-2.55, 3 Si 2.60-2.73
14 Si 0.3505 0.5637 0.9129  3 Ir 2.47-2.55, 3 Si 2.60-2.73
15 Si 0.7500 0.7500 0.7500  3 Ir 2.44, 6 Si 2.73
16 Si 0.2500 0.2500 0.2500  3 Ir 2.44, 6 Si 2.73
17 Ir 0.4316 0.0684 0.7500  7 Si 2.44-2.55
18 Ir 0.0684 0.7500 0.7500  7 Si 2.44-2.55
19 Ir 0.7500 0.4316 0.7500  7 Si 2.44-2.55
20 Ir 0.5684 0.9316 0.2500  7 Si 2.44-2.55
21 Ir 0.9316 0.2500 0.2500  7 Si 2.44-2.55
22 Ir 0.2500 0.5684 0.2500  7 Si 2.44-2.55

(3)
# Pm3Si2Ir3

A relaxed structure of Pm3Si2Ir3 (GGA-PBE, the Alexandria database).

Summary:
Calculated volume (A^3/atom): 20.5
Space-group type: Pnma
Energy above the lowest structure with this stoichiometry (eV per atom): 0.000
VASP energy (Ry/atom): -0.544

Cell lengths 5.6904, 7.7261, 14.9179 Å; angles 90.00, 90.00, 90.00 degrees
With the nearest neighbours (Å) after each atom.
Element x y z (fractional)
1 Pm 0.1339 0.4736 0.3914  3 Si 3.04-3.12, 7 Ir 3.04-3.36
2 Pm 0.6339 0.0264 0.6086  3 Si 3.04-3.12, 7 Ir 3.04-3.36
3 Pm 0.8661 0.5264 0.8914  3 Si 3.04-3.12, 7 Ir 3.04-3.36
4 Pm 0.3661 0.9736 0.1086  3 Si 3.04-3.12, 7 Ir 3.04-3.36
5 Pm 0.8661 0.5264 0.6086  3 Si 3.04-3.12, 7 Ir 3.04-3.36
6 Pm 0.3661 0.9736 0.3914  3 Si 3.04-3.12, 7 Ir 3.04-3.36
7 Pm 0.1339 0.4736 0.1086  3 Si 3.04-3.12, 7 Ir 3.04-3.36
8 Pm 0.6339 0.0264 0.8914  3 Si 3.04-3.12, 7 Ir 3.04-3.36
9 Pm 0.5993 0.3290 0.2500  5 Ir 2.88-3.20, 4 Si 3.15-3.21
10 Pm 0.0993 0.1710 0.7500  5 Ir 2.88-3.20, 4 Si 3.15-3.21
11 Pm 0.4007 0.6710 0.7500  5 Ir 2.88-3.20, 4 Si 3.15-3.21
12 Pm 0.9007 0.8290 0.2500  5 Ir 2.88-3.20, 4 Si 3.15-3.21
13 Si 0.8737 0.1260 0.4000  4 Ir 2.41-2.55
14 Si 0.3737 0.3740 0.6000  4 Ir 2.41-2.55
15 Si 0.1263 0.8740 0.9000  4 Ir 2.41-2.55
16 Si 0.6263 0.6260 0.1000  4 Ir 2.41-2.55
17 Si 0.1263 0.8740 0.6000  4 Ir 2.41-2.55
18 Si 0.6263 0.6260 0.4000  4 Ir 2.41-2.55
19 Si 0.8737 0.1260 0.1000  4 Ir 2.41-2.55
20 Si 0.3737 0.3740 0.9000  4 Ir 2.41-2.55
21 Ir 0.0763 0.1785 0.2500  2 Si 2.55
22 Ir 0.5763 0.3215 0.7500  2 Si 2.55
23 Ir 0.9237 0.8215 0.7500  2 Si 2.55
24 Ir 0.4237 0.6785 0.2500  2 Si 2.55
25 Ir 0.6038 0.3353 0.4607  3 Si 2.41-2.47
26 Ir 0.1038 0.1647 0.5393  3 Si 2.41-2.47
27 Ir 0.3962 0.6647 0.9607  3 Si 2.41-2.47
28 Ir 0.8962 0.8353 0.0393  3 Si 2.41-2.47
29 Ir 0.3962 0.6647 0.5393  3 Si 2.41-2.47
30 Ir 0.8962 0.8353 0.4607  3 Si 2.41-2.47
31 Ir 0.6038 0.3353 0.0393  3 Si 2.41-2.47
32 Ir 0.1038 0.1647 0.9607  3 Si 2.41-2.47

(4)
# Pm4Si2Ir

A relaxed structure of Pm4Si2Ir (GGA-PBE, the Alexandria database).

Summary:
Calculated volume (A^3/atom): 26.4
Space-group type: R-3m
VASP energy (Ry/atom): -0.450

Cell lengths 4.9008, 4.9008, 9.3269 Å; angles 74.77, 74.77, 60.00 degrees
With the nearest neighbours (Å) after each atom.
Element x y z (fractional)
1 Pm 0.3770 0.3770 0.8691  3 Ir 3.06, 3 Si 3.11
2 Pm 0.2039 0.2039 0.3882  4 Si 2.98-3.00
3 Pm 0.7961 0.7961 0.6118  4 Si 2.98-3.00
4 Pm 0.6230 0.6230 0.1309  3 Ir 3.06, 3 Si 3.11
5 Si 0.0922 0.0922 0.7235  1 Ir 2.46
6 Si 0.9078 0.9078 0.2765  1 Ir 2.46
7 Ir 0.0000 0.0000 0.0000  2 Si 2.46

(5)
# PmSi4Ir6

A relaxed structure of PmSi4Ir6 (GGA-PBE, the Alexandria database).

Summary:
Calculated volume (A^3/atom): 15.1
Space-group type: P-6m2
VASP energy (Ry/atom): -0.594

Cell lengths 3.8605, 7.0526, 7.0526 Å; angles 120.00, 90.00, 90.00 degrees
With the nearest neighbours (Å) after each atom.
Element x y z (fractional)
1 Pm 0.0000 0.0000 0.0000  6 Si 3.09, 6 Ir 3.10
2 Si 0.5000 0.8022 0.6045  6 Ir 2.42-2.54
3 Si 0.5000 0.3955 0.1978  6 Ir 2.42-2.54
4 Si 0.5000 0.8022 0.1978  6 Ir 2.42-2.54
5 Si 0.0000 0.3333 0.6667  9 Ir 2.44-2.53
6 Ir 0.0000 0.5331 0.0661  5 Si 2.44-2.54
7 Ir 0.5000 0.6021 0.8011  4 Si 2.42-2.53
8 Ir 0.0000 0.5331 0.4669  5 Si 2.44-2.54
9 Ir 0.0000 0.9339 0.4669  5 Si 2.44-2.54
10 Ir 0.5000 0.1989 0.8011  4 Si 2.42-2.53
11 Ir 0.5000 0.1989 0.3979  4 Si 2.42-2.53

(6)
# PmSi6Ir3

A relaxed structure of PmSi6Ir3 (GGA-PBE, the Alexandria database).

Summary:
Calculated volume (A^3/atom): 16.2
Space-group type: P2_1/m
VASP energy (Ry/atom): -0.517

Cell lengths 4.2219, 8.5929, 8.9575 Å; angles 89.23, 90.00, 90.00 degrees
With the nearest neighbours (Å) after each atom.
Element x y z (fractional)
1 Pm 0.7500 0.0532 0.6980  9 Si 2.98-3.26, 1 Ir 3.28
2 Pm 0.2500 0.9468 0.3020  9 Si 2.98-3.26, 1 Ir 3.28
3 Si 0.7500 0.4281 0.5650  4 Ir 2.43-2.54, 3 Si 2.67-2.70
4 Si 0.2500 0.5719 0.4350  4 Ir 2.43-2.54, 3 Si 2.67-2.70
5 Si 0.7500 0.9048 0.0279  3 Ir 2.50-2.54, 3 Si 2.56-2.71
6 Si 0.2500 0.0952 0.9721  3 Ir 2.50-2.54, 3 Si 2.56-2.71
7 Si 0.7500 0.4664 0.0960  4 Ir 2.40-2.46, 3 Si 2.50-2.69
8 Si 0.2500 0.5336 0.9040  4 Ir 2.40-2.46, 3 Si 2.50-2.69
9 Si 0.7500 0.7095 0.2460  3 Ir 2.44, 2 Si 2.50-2.56
10 Si 0.2500 0.2905 0.7540  3 Ir 2.44, 2 Si 2.50-2.56
11 Si 0.7500 0.1887 0.3786  3 Ir 2.46-2.47, 1 Si 2.67
12 Si 0.2500 0.8113 0.6214  3 Ir 2.46-2.47, 1 Si 2.67
13 Si 0.7500 0.6885 0.7913  4 Ir 2.45-2.56, 2 Si 2.69
14 Si 0.2500 0.3115 0.2087  4 Ir 2.45-2.56, 2 Si 2.69
15 Ir 0.7500 0.4050 0.8355  7 Si 2.40-2.46
16 Ir 0.2500 0.5950 0.1645  7 Si 2.40-2.46
17 Ir 0.7500 0.7112 0.5181  7 Si 2.44-2.54
18 Ir 0.2500 0.2888 0.4819  7 Si 2.44-2.54
19 Ir 0.7500 0.1843 0.1030  7 Si 2.42-2.56
20 Ir 0.2500 0.8157 0.8970  7 Si 2.42-2.56